Entry 1:
Material: Tb2NdSn
Method: DFT, GGA-PBE
State: optimized geometry

Cell and atoms, written as CIF:
```
data_Tb2NdSn
_symmetry_space_group_name_H-M 'P 1 21/m 1'
_symmetry_Int_Tables_number 11
_cell_length_a 4.692
_cell_length_b 4.724
_cell_length_c 11.570
_cell_angle_alpha 90.00
_cell_angle_beta 101.63
_cell_angle_gamma 90.00
loop_
_symmetry_equiv_pos_as_xyz
'x,y,z'
'-x,-y,-z'
'-x,y+1/2,-z'
'x,-y+1/2,z'
loop_
_atom_site_label
_atom_site_fract_x
_atom_site_fract_y
_atom_site_fract_z
Tb1 0.059 0.250 0.119
Tb2 0.437 0.250 0.873
Nd1 0.192 0.750 0.387
Sn1 0.338 0.750 0.673
```

Calculated values
offset from the most stable computed form = 0.021 eV/atom
total magnetic moment = 0.0 μB per formula unit
DFT total energy = -39.33 eV per cell
DOS at the Fermi energy = 5.18 states/eV/f.u.
formation enthalpy at 0 K = -0.409 eV/atom



Entry 2:
Material: TbNd2Sn3
Method: DFT, GGA-PBE
State: optimized geometry

Cell and atoms, written as CIF:
```
data_TbNd2Sn3
_symmetry_space_group_name_H-M 'I m m m'
_symmetry_Int_Tables_number 71
_symmetry_space_group_name_Hall '-I 2 2'
_cell_length_a 5.239
_cell_length_b 6.348
_cell_length_c 11.200
_cell_angle_alpha 90.00
_cell_angle_beta 90.00
_cell_angle_gamma 90.00
loop_
_atom_site_label
_atom_site_fract_x
_atom_site_fract_y
_atom_site_fract_z
Tb1 0.000 0.000 0.000
Nd1 0.000 0.000 0.329
Sn1 0.000 0.500 0.000
Sn2 0.000 0.500 0.346
```

Calculated values
total magnetic moment = 0.0 μB per formula unit
DFT total energy = -59.40 eV per cell
DOS at the Fermi energy = 4.56 states/eV/f.u.
formation enthalpy at 0 K = -0.588 eV/atom



Entry 3:
Material: Tb2NdSn
Method: DFT, GGA-PBE
State: optimized geometry

Cell and atoms, written as CIF:
```
data_Tb2NdSn
_symmetry_space_group_name_H-M 'C m c m'
_symmetry_Int_Tables_number 63
_symmetry_space_group_name_Hall '-C 2c 2'
_cell_length_a 5.498
_cell_length_b 12.946
_cell_length_c 6.907
_cell_angle_alpha 90.00
_cell_angle_beta 90.00
_cell_angle_gamma 90.00
loop_
_atom_site_label
_atom_site_fract_x
_atom_site_fract_y
_atom_site_fract_z
Tb1 0.000 0.133 0.019
Nd1 0.000 0.431 0.250
Sn1 0.000 0.326 0.750
```

Calculated values
offset from the most stable computed form = 0.122 eV/atom
total magnetic moment = 0.0 μB per formula unit
DFT total energy = -77.06 eV per cell
DOS at the Fermi energy = 4.50 states/eV/f.u.
formation enthalpy at 0 K = -0.308 eV/atom



Entry 4:
Material: Tb2Nd5Sn5
Method: DFT, GGA-PBE
State: optimized geometry

Cell and atoms, written as CIF:
```
data_Tb2Nd5Sn5
_symmetry_space_group_name_H-M 'C 1 2/m 1'
_symmetry_Int_Tables_number 12
_cell_length_a 14.988
_cell_length_b 4.462
_cell_length_c 12.907
_cell_angle_alpha 90.00
_cell_angle_beta 109.78
_cell_angle_gamma 90.00
loop_
_symmetry_equiv_pos_as_xyz
'x,y,z'
'-x,-y,-z'
'-x,y,-z'
'x,-y,z'
'x+1/2,y+1/2,z'
'-x+1/2,-y+1/2,-z'
'-x+1/2,y+1/2,-z'
'x+1/2,-y+1/2,z'
loop_
_atom_site_label
_atom_site_fract_x
_atom_site_fract_y
_atom_site_fract_z
Tb1 0.050 0.000 0.287
Nd1 0.000 0.500 0.000
Nd2 0.160 0.500 0.541
Nd3 0.228 0.500 0.845
Sn1 0.000 0.000 0.500
Sn2 0.116 0.000 0.926
Sn3 0.194 0.500 0.294
```

Calculated values
total magnetic moment = 0.7 μB per formula unit
DFT total energy = -119.39 eV per cell
DOS at the Fermi energy = 7.64 states/eV/f.u.
formation enthalpy at 0 K = -0.548 eV/atom



Entry 5:
Material: Tb3NdSn3
Method: DFT, GGA-PBE
State: optimized geometry

Cell and atoms, written as CIF:
```
data_Tb3NdSn3
_symmetry_space_group_name_H-M 'P 63/m'
_symmetry_Int_Tables_number 176
_symmetry_space_group_name_Hall '-P 6c'
_cell_length_a 9.2775
_cell_length_b 9.2775
_cell_length_c 5.3974
_cell_angle_alpha 90.00
_cell_angle_beta 90.00
_cell_angle_gamma 120.00
loop_
_atom_site_label
_atom_site_fract_x
_atom_site_fract_y
_atom_site_fract_z
Tb1 0.0017 0.7622 0.2500
Nd1 0.3333 0.6667 0.2500
Sn1 0.0732 0.6233 0.7500
```

Calculated values
total magnetic moment = 0.0 μB per formula unit
DFT total energy = -69.04 eV per cell
DOS at the Fermi energy = 6.72 states/eV/f.u.
formation enthalpy at 0 K = -0.550 eV/atom



Entry 6:
Material: TbNd3Sn3
Method: DFT, GGA-PBE
State: optimized geometry

Cell and atoms, written as CIF:
```
data_TbNd3Sn3
_symmetry_space_group_name_H-M 'C 1 2/m 1'
_symmetry_Int_Tables_number 12
_cell_length_a 8.876
_cell_length_b 13.391
_cell_length_c 7.886
_cell_angle_alpha 90.00
_cell_angle_beta 91.04
_cell_angle_gamma 90.00
loop_
_symmetry_equiv_pos_as_xyz
'x,y,z'
'-x,-y,-z'
'-x,y,-z'
'x,-y,z'
'x+1/2,y+1/2,z'
'-x+1/2,-y+1/2,-z'
'-x+1/2,y+1/2,-z'
'x+1/2,-y+1/2,z'
loop_
_atom_site_label
_atom_site_fract_x
_atom_site_fract_y
_atom_site_fract_z
Tb1 0.209 0.000 0.098
Nd1 0.000 0.276 0.000
Nd2 0.000 0.350 0.500
Nd3 0.132 0.000 0.638
Sn1 0.053 0.500 0.188
Sn2 0.168 0.176 0.320
```

Calculated values
total magnetic moment = 0.0 μB per formula unit
DFT total energy = -136.38 eV per cell
DOS at the Fermi energy = 5.03 states/eV/f.u.
formation enthalpy at 0 K = -0.450 eV/atom